Entry 1:
# Co2W11 (PBE, optimized geometry)
# DFT formation energy: 511.2 meV per atom
# energy above the most stable polymorph in this dataset: 92 meV/atom
data_Co2W11
_cell_length_a 5.2378
_cell_length_b 5.2378
_cell_length_c 26.7541
_cell_angle_alpha 90.00
_cell_angle_beta 90.00
_cell_angle_gamma 120.00
_symmetry_space_group_name_H-M 'R -3 m'
_symmetry_Int_Tables_number 166
_symmetry_space_group_name_Hall '-R 3 2"'
loop_
_atom_site_label
_atom_site_type_symbol
_atom_site_fract_x
_atom_site_fract_y
_atom_site_fract_z
Co1 Co 0.0000 0.0000 0.1662
W1 W 0.0000 0.0000 0.0000
W2 W 0.0000 0.0000 0.3502
W3 W 0.0000 0.0000 0.4513
W4 W 0.0029 0.5014 0.4149

Entry 2:
A plane-wave DFT calculation with PBE was carried out for crystalline NbTe4Ir at its relaxed geometry.

Cell and atoms, written as CIF:
```
data_NbTe4Ir
_cell_length_a 3.8104
_cell_length_b 12.6871
_cell_length_c 13.3590
_cell_angle_alpha 90.00
_cell_angle_beta 90.00
_cell_angle_gamma 90.00
_symmetry_space_group_name_H-M 'P m n 21'
_symmetry_Int_Tables_number 31
loop_
_symmetry_equiv_pos_as_xyz
'x,y,z'
'-x+1/2,-y,z+1/2'
'-x,y,z'
'x+1/2,-y,z+1/2'
loop_
_atom_site_label
_atom_site_type_symbol
_atom_site_fract_x
_atom_site_fract_y
_atom_site_fract_z
Nb1 Nb 0.0000 0.0558 0.0000
Nb2 Nb 0.0000 0.2693 0.4868
Te1 Te 0.0000 0.0658 0.3877
Te2 Te 0.0000 0.1943 0.8495
Te3 Te 0.0000 0.3469 0.0897
Te4 Te 0.0000 0.4126 0.6329
Te5 Te 0.0000 0.5634 0.3922
Te6 Te 0.0000 0.6769 0.8433
Te7 Te 0.0000 0.8517 0.1019
Te8 Te 0.0000 0.8901 0.6431
Ir1 Ir 0.0000 0.5363 0.9953
Ir2 Ir 0.0000 0.7527 0.4873
```

Entry 3:
# MgCoPbW (PBE, optimized geometry)
# energy above the most stable polymorph in this dataset: 60 meV/atom
data_MgCoPbW
_cell_length_a 6.5224
_cell_length_b 6.5224
_cell_length_c 6.5224
_cell_angle_alpha 90.00
_cell_angle_beta 90.00
_cell_angle_gamma 90.00
_symmetry_space_group_name_H-M 'F -4 3 m'
_symmetry_Int_Tables_number 216
_symmetry_space_group_name_Hall 'F -4 2 3'
loop_
_atom_site_label
_atom_site_type_symbol
_atom_site_fract_x
_atom_site_fract_y
_atom_site_fract_z
Mg1 Mg 0.0000 0.0000 0.0000
Co1 Co 0.2500 0.2500 0.7500
Pb1 Pb 0.0000 0.0000 0.5000
W1 W 0.2500 0.2500 0.2500

Entry 4:
# Zn2AgAu (PBE, optimized geometry)
# DFT formation energy: -157.1 meV per atom
# energy above the most stable polymorph in this dataset: 0 meV/atom
data_Zn2AgAu
_cell_length_a 4.4508
_cell_length_b 4.4508
_cell_length_c 6.5046
_cell_angle_alpha 90.00
_cell_angle_beta 90.00
_cell_angle_gamma 90.00
_symmetry_space_group_name_H-M 'I 4/m m m'
_symmetry_Int_Tables_number 139
_symmetry_space_group_name_Hall '-I 4 2'
loop_
_atom_site_label
_atom_site_type_symbol
_atom_site_fract_x
_atom_site_fract_y
_atom_site_fract_z
Zn1 Zn 0.0000 0.5000 0.2500
Ag1 Ag 0.0000 0.0000 0.0000
Au1 Au 0.0000 0.0000 0.5000

Entry 5:
# CdPd7 (PBE, optimized geometry)
# DFT formation energy: -25.9 meV per atom
data_CdPd7
_cell_length_a 2.8436
_cell_length_b 3.8727
_cell_length_c 35.0770
_cell_angle_alpha 90.00
_cell_angle_beta 90.00
_cell_angle_gamma 90.00
_symmetry_space_group_name_H-M 'P m m n'
_symmetry_Int_Tables_number 59
loop_
_symmetry_equiv_pos_as_xyz
'x,y,z'
'-x,-y,-z'
'-x+1/2,-y+1/2,z'
'x+1/2,y+1/2,-z'
'x+1/2,-y,-z'
'-x+1/2,y,z'
'-x,y+1/2,-z'
'x,-y+1/2,z'
loop_
_atom_site_label
_atom_site_type_symbol
_atom_site_fract_x
_atom_site_fract_y
_atom_site_fract_z
Cd1 Cd 0.2500 0.2500 0.1975
Pd1 Pd 0.2500 0.2500 0.2803
Pd2 Pd 0.2500 0.2500 0.3608
Pd3 Pd 0.2500 0.2500 0.4404
Pd4 Pd 0.2500 0.2500 0.5198
Pd5 Pd 0.2500 0.2500 0.5994
Pd6 Pd 0.2500 0.2500 0.6796
Pd7 Pd 0.2500 0.2500 0.7618

Entry 6:
A plane-wave DFT calculation with PBE was carried out for crystalline AlZn2Co at its relaxed geometry.

Cell and atoms, written as CIF:
```
data_AlZn2Co
_cell_length_a 4.2213
_cell_length_b 5.1553
_cell_length_c 4.7615
_cell_angle_alpha 90.00
_cell_angle_beta 90.00
_cell_angle_gamma 90.00
_symmetry_space_group_name_H-M 'P m m n'
_symmetry_Int_Tables_number 59
loop_
_symmetry_equiv_pos_as_xyz
'x,y,z'
'-x,-y,-z'
'-x+1/2,-y+1/2,z'
'x+1/2,y+1/2,-z'
'x+1/2,-y,-z'
'-x+1/2,y,z'
'-x,y+1/2,-z'
'x,-y+1/2,z'
loop_
_atom_site_label
_atom_site_type_symbol
_atom_site_fract_x
_atom_site_fract_y
_atom_site_fract_z
Al1 Al 0.2500 0.2500 0.1287
Zn1 Zn 0.2500 0.5029 0.6535
Co1 Co 0.2500 0.7500 0.1473
```

no.,DFT total energy (eV/atom)
1,-11.55
2,-5.65
3,-5.46
4,-2.31
5,-4.67
6,-3.51